Entry from Alexandria: SrHfCr2O8 after structural relaxation (GGA+U).

Cell lengths 5.950, 5.950, 5.950 Å; angles 106.66, 106.66, 115.26 degrees
Last column: magnetic moment on the atom in μB.
Positions (direct):
Sr 0.250 0.750 0.500  0.00
Hf 0.000 0.000 0.000  0.01
Cr 0.750 0.250 0.500  1.99
Cr 0.500 0.500 0.000  0.07
O 0.375 0.085 0.289  -0.02
O 0.328 0.502 0.174  -0.01
O 0.328 0.154 0.826  -0.01
O 0.796 0.085 0.711  -0.02
O 0.846 0.672 0.174  -0.01
O 0.915 0.204 0.289  -0.02
O 0.915 0.625 0.711  -0.02
O 0.498 0.672 0.826  -0.01

Values from the calculation:
Calculated total energy   -7.6118 eV per atom
SG   No. 119
Total magnetization   2.0 μB per formula unit